Compound: Sm7Ho2Sc2
Source: Alexandria via LeMat-Bulk
Functional: PBE
Structure: relaxed

The structure in extended XYZ format:
```
11
Lattice="3.2782 -5.8671 0.0000 3.2782 5.8671 0.0000 0.0000 0.0000 9.5407" Properties=species:S:1:pos:R:3 pbc="T T T"
Sm 0.0000 0.0000 0.0000
Sm 1.6391 2.9336 2.9298
Sm 1.6391 2.9336 6.6108
Sm 1.6391 -2.9336 2.9298
Sm 1.6391 -2.9336 6.6108
Sm 3.2782 0.0000 1.7376
Sm 3.2782 0.0000 7.8031
Ho 1.6410 0.0000 4.7703
Ho 4.9153 0.0000 4.7703
Sc 3.2782 2.7057 0.0000
Sc 3.2782 -2.7057 0.0000
```

Output
For the energy relative to the lowest polymorph listed for this composition, the calculation gives 186 meV/atom. The energy of formation from the pure elements comes out at 0.339 eV/atom. As for the volume: 367.00 Å³/f.u.